# LiMg2Pt

A relaxed structure of LiMg2Pt (GGA-PBE, the Alexandria database).

Cell lengths 2.9755, 3.9687, 5.8023 Å; angles 90.00, 90.00, 90.00 degrees
With the nearest neighbours (Å) after each atom.
Space group Pmm2 (No. 25)
One atom of each set of equivalent atoms:
Li (0.0000, 0.0000, 0.0000) [1 per cell]  1 Mg 2.53, 4 Pt 2.81
Mg (0.0000, 0.0000, 0.5636) [1 per cell]  1 Li 2.53, 4 Pt 2.76
Mg (0.5000, 0.5000, 0.2497) [1 per cell]  2 Pt 2.78-3.03, 4 Li 2.87, 6 Mg 2.98-3.08
Pt (0.5000, 0.5000, 0.7714) [1 per cell]  6 Mg 2.76-3.03, 4 Li 2.81, 2 Pt 2.98

**Energy above the lowest structure with this stoichiometry**: 0.202 eV/atom

# YGa2W2

A relaxed structure of YGa2W2 (GGA-PBE, the Alexandria database).

Cell lengths 7.1902, 7.1902, 3.4180 Å; angles 90.00, 90.00, 90.00 degrees
With the nearest neighbours (Å) after each atom.
Space group P4/mbm (No. 127)
One atom of each set of equivalent atoms:
Y (0.0000, 0.0000, 0.0000) [2 per cell]  4 Ga 2.84, 8 W 3.18
Ga (0.1259, 0.3741, 0.0000) [4 per cell]  1 Ga 2.56, 6 W 2.71-2.73, 2 Y 2.84
W (0.1673, 0.6673, 0.5000) [4 per cell]  6 Ga 2.71-2.73

# LiVTcIr

A relaxed structure of LiVTcIr (GGA-PBE, the Alexandria database).

Cell lengths 5.9506, 5.9506, 5.9506 Å; angles 90.00, 90.00, 90.00 degrees
With the nearest neighbours (Å) after each atom.
Space group F-43m (No. 216)
One atom of each set of equivalent atoms:
Li (0.0000, 0.0000, 0.0000) [4 per cell]  4 Tc 2.58, 4 Ir 2.58
V (0.0000, 0.0000, 0.5000) [4 per cell]  4 Tc 2.58, 4 Ir 2.58
Tc (0.2500, 0.2500, 0.2500) [4 per cell]  4 Li 2.58, 4 V 2.58
Ir (0.2500, 0.2500, 0.7500) [4 per cell]  4 Li 2.58, 4 V 2.58

no.,E_tot (eV/atom),Fermi-level density of states (states/eV per atom)
1,-3.222,0.42
2,-7.533,0.60
3,-7.724,1.40